Record 1
Compound: YEr2Tl
Source: Alexandria via LeMat-Bulk
Functional: GGA-PBE
Structure: optimized geometry

CIF file:
```
data_YEr2Tl
_space_group_name_H-M_alt 'P 1'
_space_group_IT_number 1
_space_group_name_Hall 'P 1'
_cell_length_a 4.825
_cell_length_b 4.825
_cell_length_c 4.844
_cell_angle_alpha 90.00
_cell_angle_beta 90.00
_cell_angle_gamma 90.00
loop_
_atom_site_label
_atom_site_type_symbol
_atom_site_fract_x
_atom_site_fract_y
_atom_site_fract_z
Y1 Y 0.000 0.000 0.000
Er1 Er 0.000 0.500 0.500
Er2 Er 0.500 0.000 0.500
Tl1 Tl 0.500 0.500 0.000
```

Summary:
- Total magnetization: 1.0 μB/cell
- Formation energy: -0.17 eV per atom
- SG: P4/mmm, No. 123
- Density: 9.2 g/cm³



Record 2
Compound: Y14ErTl
Source: Alexandria via LeMat-Bulk
Functional: GGA-PBE
Structure: optimized geometry

CIF file:
```
data_Y14ErTl
_space_group_name_H-M_alt 'P 1'
_space_group_IT_number 1
_space_group_name_Hall 'P 1'
_cell_length_a 10.895
_cell_length_b 6.947
_cell_length_c 6.947
_cell_angle_alpha 75.03
_cell_angle_beta 90.00
_cell_angle_gamma 90.00
loop_
_atom_site_label
_atom_site_type_symbol
_atom_site_fract_x
_atom_site_fract_y
_atom_site_fract_z
Y1 Y 0.000 0.000 0.000
Y2 Y 0.000 0.449 0.449
Y3 Y 0.000 0.529 0.930
Y4 Y 0.000 0.930 0.529
Y5 Y 0.226 0.226 0.226
Y6 Y 0.259 0.300 0.716
Y7 Y 0.259 0.716 0.300
Y8 Y 0.278 0.791 0.791
Y9 Y 0.500 0.085 0.497
Y10 Y 0.500 0.497 0.085
Y11 Y 0.722 0.791 0.791
Y12 Y 0.741 0.300 0.716
Y13 Y 0.741 0.716 0.300
Y14 Y 0.774 0.226 0.226
Er1 Er 0.500 0.021 0.021
Tl1 Tl 0.500 0.575 0.575
```

Summary:
- Total magnetization: 0.0 μB/cell
- Formation energy: -0.01 eV per atom
- SG: Amm2, No. 38
- Density: 5.3 g/cm³



Record 3
Compound: YEr2Tl2Zn2
Source: Alexandria via LeMat-Bulk
Functional: GGA-PBE
Structure: optimized geometry

CIF file:
```
data_YEr2Tl2Zn2
_space_group_name_H-M_alt 'P 1'
_space_group_IT_number 1
_space_group_name_Hall 'P 1'
_cell_length_a 9.306
_cell_length_b 9.306
_cell_length_c 9.306
_cell_angle_alpha 29.58
_cell_angle_beta 29.58
_cell_angle_gamma 29.58
loop_
_atom_site_label
_atom_site_type_symbol
_atom_site_fract_x
_atom_site_fract_y
_atom_site_fract_z
Y1 Y 0.000 0.000 0.000
Er1 Er 0.130 0.130 0.130
Er2 Er 0.870 0.870 0.870
Tl1 Tl 0.267 0.267 0.267
Tl2 Tl 0.733 0.733 0.733
Zn1 Zn 0.420 0.420 0.420
Zn2 Zn 0.580 0.580 0.580
```

Summary:
- Total magnetization: 0.0 μB/cell
- Formation energy: -0.14 eV per atom
- SG: R-3m, No. 166
- Density: 9.2 g/cm³



Record 4
Compound: Er6Tl2Zn
Source: Alexandria via LeMat-Bulk
Functional: GGA-PBE
Structure: optimized geometry

CIF file:
```
data_Er6Tl2Zn
_space_group_name_H-M_alt 'P 1'
_space_group_IT_number 1
_space_group_name_Hall 'P 1'
_cell_length_a 8.765
_cell_length_b 8.765
_cell_length_c 8.765
_cell_angle_alpha 146.45
_cell_angle_beta 131.79
_cell_angle_gamma 60.01
loop_
_atom_site_label
_atom_site_type_symbol
_atom_site_fract_x
_atom_site_fract_y
_atom_site_fract_z
Er1 Er 0.082 0.339 0.743
Er2 Er 0.235 0.000 0.235
Er3 Er 0.403 0.661 0.743
Er4 Er 0.597 0.339 0.257
Er5 Er 0.765 0.000 0.765
Er6 Er 0.918 0.661 0.257
Tl1 Tl 0.333 0.833 0.500
Tl2 Tl 0.667 0.167 0.500
Zn1 Zn 0.000 0.500 0.500
```

Summary:
- Total magnetization: 0.0 μB/cell
- Formation energy: -0.01 eV per atom
- SG: Immm, No. 71
- Density: 8.9 g/cm³



| no. | N(E_F) (states/eV/cell) |
| --- | --- |
| 1 | 4.8 |
| 2 | 25.3 |
| 3 | 3.9 |
| 4 | 10.9 |